--- one ---
Below is crystalline RbFeIr at its relaxed geometry, with properties calculated at the PBE level.

Values from the calculation:
Fermi-level density of states in states/eV/f.u.: 0.98
SG: No. 129
Magnetization in μB per cell: 8.09

a b c (Å): 4.1613 4.1613 10.3740
angles (deg): 90.00 90.00 90.00
Closest atoms and distances in Å follow each position.
Sites, in units of the cell vectors:
Rb 0.0000 0.5000 0.1964  4 Ir 3.47, 4 Fe 3.77
Rb 0.5000 0.0000 0.8036  4 Ir 3.47, 4 Fe 3.77
Fe 0.0000 0.0000 0.5000  4 Ir 2.46
Fe 0.5000 0.5000 0.5000  4 Ir 2.46
Ir 0.0000 0.5000 0.6269  4 Fe 2.46
Ir 0.5000 0.0000 0.3731  4 Fe 2.46



--- two ---
Below is crystalline RbFeIr at its relaxed geometry, with properties calculated at the PBE level.

Values from the calculation:
Fermi-level density of states in states/eV/f.u.: 2.33
SG: No. 1
Magnetization in μB per cell: 0.31

a b c (Å): 12.3483 4.0102 4.0134
angles (deg): 119.87 83.76 87.10
Closest atoms and distances in Å follow each position.
Sites, in units of the cell vectors:
Rb 0.8783 0.5629 0.5678  3 Ir 3.38-3.39, 1 Fe 3.74
Rb 0.2644 0.8019 0.8745  3 Ir 3.38-3.39, 1 Fe 3.74
Ir 0.6758 0.9864 0.3476  1 Ir 2.55, 6 Fe 2.59-2.70
Ir 0.4669 0.0464 0.4263  1 Ir 2.55, 6 Fe 2.59-2.70
Fe 0.5714 0.3497 0.0540  3 Fe 2.32, 1 Ir 2.59
Fe 0.5713 0.6831 0.7201  3 Fe 2.32, 1 Ir 2.59



--- three ---
Below is crystalline RbFeIr at its relaxed geometry, with properties calculated at the PBE level.

Values from the calculation:
Fermi-level density of states in states/eV/f.u.: 2.85
SG: No. 44
Magnetization in μB per cell: 6.42

a b c (Å): 5.0790 5.8641 6.0858
angles (deg): 61.19 65.34 90.00
Closest atoms and distances in Å follow each position.
Sites, in units of the cell vectors:
Rb 0.1964 0.6964 0.6072  4 Fe 3.14, 2 Ir 3.19, 2 Rb 3.37
Rb 0.9319 0.9319 0.1362  4 Fe 3.25, 2 Rb 3.37, 2 Ir 3.45
Ir 0.7380 0.2380 0.5239  2 Fe 2.45, 2 Ir 2.68
Ir 0.3292 0.3292 0.3416  2 Fe 2.41, 2 Ir 2.68
Fe 0.5499 0.3398 0.9003  2 Ir 2.41-2.45, 1 Fe 2.46
Fe 0.5499 0.7600 0.9002  2 Ir 2.41-2.45, 1 Fe 2.46



Which is the most stable structure? one is the most stable.



--- one ---
Below is crystalline RbFe2Ir at its relaxed geometry, with properties calculated at the PBE level.

Values from the calculation:
Fermi-level density of states in states/eV/f.u.: 3.17
SG: No. 225
Magnetization in μB per cell: 6.52

a b c (Å): 4.6365 4.6365 4.6365
angles (deg): 60.00 60.00 60.00
Closest atoms and distances in Å follow each position.
Sites, in units of the cell vectors:
Ir 0.5000 0.5000 0.5000  8 Fe 2.84
Fe 0.7500 0.7500 0.7500  4 Rb 2.84, 4 Ir 2.84
Fe 0.2500 0.2500 0.2500  4 Ir 2.84, 4 Rb 2.84
Rb 0.0000 0.0000 0.0000  8 Fe 2.84



--- two ---
Below is crystalline RbFe2Ir at its relaxed geometry, with properties calculated at the PBE level.

Values from the calculation:
Fermi-level density of states in states/eV/f.u.: 7.97
SG: No. 141
Magnetization in μB per cell: 0.22

a b c (Å): 4.9870 4.9870 8.5770
angles (deg): 73.10 73.10 90.00
Closest atoms and distances in Å follow each position.
Sites, in units of the cell vectors:
Fe 0.8745 0.6250 0.2500  2 Ir 2.32, 2 Fe 2.49
Fe 0.3750 0.1245 0.7500  2 Ir 2.32, 2 Fe 2.49
Fe 0.8750 0.1255 0.7500  2 Ir 2.32, 2 Fe 2.49
Fe 0.8755 0.1250 0.2500  2 Ir 2.32, 2 Fe 2.49
Ir 0.7500 0.2500 0.5000  4 Fe 2.32
Ir 0.0000 0.0000 0.0000  4 Fe 2.32
Rb 0.2500 0.7500 0.5000  8 Fe 3.40-3.41, 4 Ir 3.53
Rb 0.5000 0.5000 0.0000  8 Fe 3.40-3.41, 4 Ir 3.53



Which is the most stable structure? one is the most stable.



--- one ---
Below is crystalline FeRe2Ir2 at its relaxed geometry, with properties calculated at the PBE level.

Values from the calculation:
Fermi-level density of states in states/eV/f.u.: 4.27
SG: No. 11
Magnetization in μB per cell: 2.75

a b c (Å): 2.7439 6.6664 7.8325
angles (deg): 81.23 89.99 90.00
Closest atoms and distances in Å follow each position.
Sites, in units of the cell vectors:
Fe 0.2499 0.1926 0.7869  5 Re 2.53-2.59, 4 Ir 2.59-2.62, 2 Fe 2.74
Fe 0.7501 0.8074 0.2131  5 Re 2.53-2.59, 4 Ir 2.59-2.62, 2 Fe 2.74
Re 0.2500 0.8211 0.9394  3 Fe 2.53-2.58, 5 Ir 2.64-2.79, 2 Re 2.74
Re 0.2500 0.6692 0.4865  2 Fe 2.59, 4 Re 2.62-2.74, 6 Ir 2.69-2.90
Re 0.7500 0.3308 0.5135  2 Fe 2.59, 4 Re 2.62-2.74, 6 Ir 2.68-2.90
Re 0.7500 0.1789 0.0606  3 Fe 2.53-2.58, 5 Ir 2.64-2.79, 2 Re 2.74
Ir 0.7499 0.9271 0.6525  2 Fe 2.59, 5 Re 2.64-2.75, 5 Ir 2.74-2.80
Ir 0.7498 0.5231 0.8073  2 Fe 2.62, 6 Re 2.74-2.90, 3 Ir 2.74-2.78
Ir 0.2502 0.4769 0.1927  2 Fe 2.62, 6 Re 2.74-2.90, 3 Ir 2.74-2.78
Ir 0.2501 0.0729 0.3475  2 Fe 2.59, 5 Re 2.64-2.75, 5 Ir 2.74-2.80



--- two ---
Below is crystalline FeRe2Ir2 at its relaxed geometry, with properties calculated at the PBE level.

Values from the calculation:
Fermi-level density of states in states/eV/f.u.: 4.29
SG: No. 127
Magnetization in μB per cell: 4.92

a b c (Å): 7.5774 7.5774 2.7126
angles (deg): 90.00 90.00 90.00
Closest atoms and distances in Å follow each position.
Sites, in units of the cell vectors:
Fe 0.5000 0.5000 0.0000  2 Fe 2.71, 4 Ir 3.00
Fe 0.0000 0.0000 0.0000  2 Fe 2.71, 4 Ir 3.00
Re 0.8280 0.3280 0.5000  6 Ir 2.57-2.65, 2 Re 2.71
Re 0.1720 0.6720 0.5000  6 Ir 2.57-2.65, 2 Re 2.71
Re 0.3280 0.1720 0.5000  6 Ir 2.57-2.65, 2 Re 2.71
Re 0.6720 0.8280 0.5000  6 Ir 2.57-2.65, 2 Re 2.71
Ir 0.6243 0.1243 0.0000  6 Re 2.57-2.65, 3 Ir 2.66-2.71
Ir 0.3757 0.8757 0.0000  6 Re 2.57-2.65, 3 Ir 2.66-2.71
Ir 0.8757 0.6243 0.0000  6 Re 2.57-2.65, 3 Ir 2.66-2.71
Ir 0.1243 0.3757 0.0000  6 Re 2.57-2.65, 3 Ir 2.66-2.71



Which is the most stable structure? one is the most stable.



--- one ---
Below is crystalline FeIr2Rh6 at its relaxed geometry, with properties calculated at the PBE level.

Values from the calculation:
Fermi-level density of states in states/eV/f.u.: 12.41
SG: No. 160
Magnetization in μB per cell: 3.18

a b c (Å): 5.2813 5.2813 6.5953
angles (deg): 66.40 66.40 60.00
Closest atoms and distances in Å follow each position.
Sites, in units of the cell vectors:
Fe 0.3340 0.3340 0.9979  6 Rh 2.41-2.44
Rh 0.0551 0.0551 0.3144  1 Fe 2.44, 4 Rh 2.53-2.65, 2 Ir 2.71
Rh 0.2704 0.2704 0.6821  1 Fe 2.41, 6 Rh 2.60-2.68
Rh 0.2704 0.7771 0.6821  1 Fe 2.41, 6 Rh 2.60-2.68
Rh 0.0551 0.5755 0.3144  1 Fe 2.44, 4 Rh 2.53-2.65, 2 Ir 2.71
Rh 0.7771 0.2704 0.6821  1 Fe 2.41, 6 Rh 2.60-2.68
Rh 0.5755 0.0551 0.3144  1 Fe 2.44, 4 Rh 2.53-2.65, 2 Ir 2.71
Ir 0.7323 0.7323 0.8031  1 Ir 2.39
Ir 0.5959 0.5959 0.2122  1 Ir 2.39



--- two ---
Below is crystalline FeIr2Rh6 at its relaxed geometry, with properties calculated at the PBE level.

Values from the calculation:
Fermi-level density of states in states/eV/f.u.: 14.59
SG: No. 12
Magnetization in μB per cell: 3.24

a b c (Å): 2.6837 13.4861 7.7778
angles (deg): 150.11 100.07 89.98
Closest atoms and distances in Å follow each position.
Sites, in units of the cell vectors:
Rh 0.3264 0.5001 0.6512  8 Rh 2.53-2.75, 1 Ir 2.56
Rh 0.6736 0.4999 0.3488  8 Rh 2.53-2.75, 1 Ir 2.56
Rh 0.5000 0.1441 0.0000  8 Rh 2.68-2.75, 4 Ir 2.73
Rh 0.6737 0.8489 0.3488  8 Rh 2.53-2.75, 1 Ir 2.56
Rh 0.3263 0.1511 0.6512  8 Rh 2.53-2.75, 1 Ir 2.56
Rh 0.5000 0.8559 0.0000  8 Rh 2.68-2.75, 4 Ir 2.73
Ir 0.8112 0.8117 0.6234  6 Rh 2.56-2.73, 2 Fe 2.62-2.64, 3 Ir 2.68-2.73
Ir 0.1888 0.1883 0.3766  6 Rh 2.56-2.73, 2 Fe 2.62-2.64, 3 Ir 2.68-2.73
Fe 0.0000 0.5000 0.0000  4 Ir 2.62-2.64, 2 Fe 2.68



Which is the most stable structure? two is the most stable.